! Ac3Pu2N7 (PBE, relaxed); values from VASP
! E_tot: -9.3806 eV/atom
! DOS at the Fermi energy: 0.562 states/eV/atom
! Spin magnetization: 4.000 Bohr magnetons per cell
! Symmetry: No. 139
&SYSTEM
  ibrav = 0, nat = 12, ntyp = 3
/
ATOMIC_SPECIES
N 14.01 N.upf
Pu 244.00 Pu.upf
Ac 227.00 Ac.upf
CELL_PARAMETERS angstrom
-2.2855 -3.3340 -1.3593
2.6078 -0.4228 -3.3478
6.1870 -4.8350 8.1464
ATOMIC_POSITIONS crystal
N 0.1977 0.1977 0.3954
N 0.8023 0.8023 0.6046
N 0.9032 0.4032 0.8064
N 0.0000 0.0000 0.0000
N 0.5968 0.0968 0.1936
N 0.0968 0.5968 0.1936
N 0.4032 0.9032 0.8064
Pu 0.0981 0.0981 0.1963
Pu 0.9019 0.9019 0.8037
Ac 0.5000 0.5000 0.0000
Ac 0.3142 0.3142 0.6284
Ac 0.6858 0.6858 0.3716

=====

! InPW2 (PBE, relaxed); values from VASP
! DOS at the Fermi energy: 0.709 states/eV/atom
! Excess energy over the best structure of this formula in the dataset: 352 meV per atom
! Spin magnetization: 0.000 Bohr magnetons per cell
! Formation energy from the elements: 0.4400 eV/atom
! Symmetry: No. 65
&SYSTEM
  ibrav = 0, nat = 4, ntyp = 3
/
ATOMIC_SPECIES
W 183.84 W.upf
P 30.97 P.upf
In 114.82 In.upf
CELL_PARAMETERS angstrom
2.9969 0.0254 0.0000
-1.2056 2.7439 0.0000
0.0000 0.0000 8.1616
ATOMIC_POSITIONS crystal
W 0.0000 0.0000 0.5434
W 0.0000 0.0000 0.9566
P 0.5000 0.5000 0.7500
In 0.5000 0.5000 0.2500

=====

Calculated volume, record by record: 16.5; 16.8 Å³ per atom